Entry 1:
! As2PbSeS (PBE, relaxed); values from VASP
&SYSTEM
  ibrav = 0, nat = 5, ntyp = 4
/
ATOMIC_SPECIES
Pb 207.20 Pb.upf
As 74.92 As.upf
S 32.06 S.upf
Se 78.96 Se.upf
CELL_PARAMETERS angstrom
5.4191 0.0000 0.0000
0.0000 5.4191 0.0000
0.0000 0.0000 5.3645
ATOMIC_POSITIONS angstrom
Pb 2.7095 2.7095 2.6822
As 0.0000 2.7095 0.0000
As 2.7095 0.0000 0.0000
S 0.0000 0.0000 0.0000
Se 0.0000 0.0000 2.6822
! Energy above the most stable polymorph in this dataset in meV/atom: 0.0
! D(E_F) in states/eV/cell: 4.2
! E_tot in eV per atom: -3.48
! E_form (uncorrected) in kJ/mol of formula units: 313
! Space-group type: P4/mmm, No. 123
! Total magnetic moment in μB/f.u.: 1.56

Entry 2:
! LaAgCl2 (PBE, relaxed); values from VASP
&SYSTEM
  ibrav = 0, nat = 4, ntyp = 3
/
ATOMIC_SPECIES
Cl 35.45 Cl.upf
Ag 107.87 Ag.upf
La 138.91 La.upf
CELL_PARAMETERS angstrom
2.1487 0.0000 9.7759
-1.0744 1.8608 9.7759
-1.0744 -1.8608 9.7759
ATOMIC_POSITIONS angstrom
Cl 0.0000 0.0000 26.3699
Cl 0.0000 0.0000 2.9577
Ag 0.0000 0.0000 0.0000
La 0.0000 0.0000 14.6638
! Energy above the most stable polymorph in this dataset in meV/atom: 179.0
! D(E_F) in states/eV/cell: 2.8
! E_tot in eV per atom: -4.00
! E_form (uncorrected) in kJ/mol of formula units: -437
! Space-group type: R-3m, No. 166
! Total magnetic moment in μB/f.u.: 0.00

Entry 3:
! GeAuN3 (PBE, relaxed); values from VASP
&SYSTEM
  ibrav = 0, nat = 5, ntyp = 3
/
ATOMIC_SPECIES
Ge 72.64 Ge.upf
Au 196.97 Au.upf
N 14.01 N.upf
CELL_PARAMETERS angstrom
-3.5712 1.1571 0.7915
-1.2994 -3.5451 -0.6804
0.5261 -0.9015 3.6918
ATOMIC_POSITIONS angstrom
Ge 0.0000 0.0000 0.0000
Au -2.1723 -1.6447 1.9014
N -0.6497 -1.7725 -0.3402
N 0.2630 -0.4507 1.8459
N -1.7856 0.5786 0.3957
! D(E_F) in states/eV/cell: 3.1
! E_tot in eV per atom: -4.78
! E_form (uncorrected) in kJ/mol of formula units: 864
! Space-group type: Pm-3m, No. 221
! Total magnetic moment in μB/f.u.: 1.99

Entry 4:
! BaHg2Pb (PBE, relaxed); values from VASP
&SYSTEM
  ibrav = 0, nat = 4, ntyp = 3
/
ATOMIC_SPECIES
Pb 207.20 Pb.upf
Hg 200.59 Hg.upf
Ba 137.33 Ba.upf
CELL_PARAMETERS angstrom
-0.8544 -2.8784 -5.4952
4.6218 -2.5155 3.9870
-1.6509 -3.2759 1.6128
ATOMIC_POSITIONS angstrom
Pb 1.4855 -2.8957 2.7999
Hg 0.0000 0.0000 0.0000
Hg -1.2527 -3.0771 -1.9412
Ba 1.8837 -2.6970 -0.7541
! Energy above the most stable polymorph in this dataset in meV/atom: 212.0
! D(E_F) in states/eV/cell: 2.2
! E_tot in eV per atom: -1.78
! Space-group type: C2/m, No. 12
! Total magnetic moment in μB/f.u.: 0.00
! Formation enthalpy at 0 K in eV/atom: -0.217

Entry 5:
! ZnRe2F (PBE, relaxed); values from VASP
&SYSTEM
  ibrav = 0, nat = 4, ntyp = 3
/
ATOMIC_SPECIES
Re 186.21 Re.upf
Zn 65.41 Zn.upf
F 19.00 F.upf
CELL_PARAMETERS angstrom
-0.2646 -3.6812 -2.0685
-2.9596 -0.5478 -2.9733
1.1118 -0.2208 -4.0762
ATOMIC_POSITIONS angstrom
Re -0.5281 -1.1125 -2.2795
Re -1.5843 -3.3374 -6.8385
Zn -1.0562 -2.2249 -4.5590
F 0.0000 0.0000 0.0000
! Energy above the most stable polymorph in this dataset in meV/atom: 130.2
! D(E_F) in states/eV/cell: 7.1
! E_tot in eV per atom: -6.22
! E_form (uncorrected) in kJ/mol of formula units: 307
! Space-group type: Fm-3m, No. 225
! Total magnetic moment in μB/f.u.: 0.00

Entry 6:
! InMoP2 (PBE, relaxed); values from VASP
&SYSTEM
  ibrav = 0, nat = 4, ntyp = 3
/
ATOMIC_SPECIES
In 114.82 In.upf
Mo 95.94 Mo.upf
P 30.97 P.upf
CELL_PARAMETERS angstrom
-1.6076 2.0130 -1.4629
-1.2334 -0.5662 2.6334
4.9883 6.7339 3.7843
ATOMIC_POSITIONS angstrom
In -0.1734 2.4069 1.5313
Mo 2.3207 5.7738 3.4234
P 4.6920 6.3339 3.5595
P 2.7904 3.7669 2.1169
! D(E_F) in states/eV/cell: 2.6
! E_tot in eV per atom: -5.92
! Space-group type: Cmmm, No. 65
! Total magnetic moment in μB/f.u.: 0.00
! Formation enthalpy at 0 K in eV/atom: 0.181

Entry 7:
! Mn2BePt (PBE, relaxed); values from VASP
&SYSTEM
  ibrav = 0, nat = 4, ntyp = 3
/
ATOMIC_SPECIES
Be 9.01 Be.upf
Mn 54.94 Mn.upf
Pt 195.08 Pt.upf
CELL_PARAMETERS angstrom
-0.5347 1.7330 2.1846
-2.6089 0.5562 -1.0798
-4.7863 -3.8729 1.9008
ATOMIC_POSITIONS angstrom
Be -5.8413 -1.6759 1.7449
Mn -4.7680 -3.8361 1.8762
Mn -2.0461 0.1785 1.2027
Pt -3.7583 -1.7814 0.4933
! D(E_F) in states/eV/cell: 1.9
! E_tot in eV per atom: -7.30
! Space-group type: Pmm2, No. 25
! Total magnetic moment in μB/f.u.: 2.18
! Formation enthalpy at 0 K in eV/atom: -0.270

Entry 8:
! ZnAg2Au (PBE, relaxed); values from VASP
&SYSTEM
  ibrav = 0, nat = 8, ntyp = 3
/
ATOMIC_SPECIES
Zn 65.41 Zn.upf
Ag 107.87 Ag.upf
Au 196.97 Au.upf
CELL_PARAMETERS angstrom
4.1871 0.0062 -1.1513
-0.3426 4.1730 -1.1513
-0.0589 -0.0640 7.8419
ATOMIC_POSITIONS angstrom
Zn 0.7873 3.1336 -1.1513
Zn 3.0572 1.0456 -1.1513
Ag 3.3247 3.6141 -0.1455
Ag 0.4610 0.5011 5.6848
Ag 2.0641 -0.0289 3.3453
Ag -0.2007 2.0545 3.3453
Au 1.3777 1.4977 0.9064
Au 2.4079 2.6175 4.6328
! D(E_F) in states/eV/cell: 2.5
! E_tot in eV per atom: -2.66
! Space-group type: C2/m, No. 12
! Total magnetic moment in μB/f.u.: 0.00
! Formation enthalpy at 0 K in eV/atom: -0.094

Entry 9:
! Ti2ZnCu2 (PBE, relaxed); values from VASP
&SYSTEM
  ibrav = 0, nat = 10, ntyp = 3
/
ATOMIC_SPECIES
Zn 65.41 Zn.upf
Cu 63.55 Cu.upf
Ti 47.87 Ti.upf
CELL_PARAMETERS angstrom
-4.4913 -1.0160 5.9201
5.9443 0.3103 4.5629
-0.3137 2.6983 0.2251
ATOMIC_POSITIONS angstrom
Zn 0.0000 0.0000 0.0000
Zn 0.7265 -0.3528 5.2415
Cu 2.9958 1.4167 3.6959
Cu 2.2458 0.9868 7.8040
Cu -1.8564 0.5760 7.0122
Cu -1.1065 1.0059 2.9040
Ti 3.4528 -0.0783 5.7495
Ti 0.2463 -0.6364 7.9719
Ti -1.9998 -0.6274 4.7335
Ti 1.2067 -0.0692 2.5110
! Energy above the most stable polymorph in this dataset in meV/atom: 272.1
! D(E_F) in states/eV/cell: 6.4
! E_tot in eV per atom: -4.91
! Space-group type: P4/mbm, No. 127
! Total magnetic moment in μB/f.u.: 0.00
! Formation enthalpy at 0 K in eV/atom: 0.139

Entry 10:
! Cs3KHg6 (PBE, relaxed); values from VASP
&SYSTEM
  ibrav = 0, nat = 20, ntyp = 3
/
ATOMIC_SPECIES
Cs 132.91 Cs.upf
K 39.10 K.upf
Hg 200.59 Hg.upf
CELL_PARAMETERS angstrom
-6.8209 -6.9272 1.0326
7.1836 -5.4232 -3.8161
3.1465 0.4985 9.2427
ATOMIC_POSITIONS angstrom
Cs 5.0999 -5.2046 0.2264
Cs 1.5642 -2.8090 6.5430
Cs 5.7868 -5.0505 5.1546
Cs -2.2776 -6.8014 1.3046
Cs 1.9449 -9.0429 -0.0838
Cs -1.5907 -6.6472 6.2328
K 0.0000 0.0000 0.0000
K 1.7546 -5.9259 3.2296
Hg 1.2679 -9.1582 7.5382
Hg 1.6421 -0.5189 3.2369
Hg 3.6243 -2.7906 2.8853
Hg -2.1070 -2.7871 1.1119
Hg 0.9356 -5.3185 -0.2925
Hg 4.5818 -8.1832 2.6332
Hg -1.0727 -3.6686 3.8260
Hg 2.5736 -6.5333 6.7517
Hg 5.6161 -9.0648 5.3473
Hg -0.1152 -9.0612 3.5739
Hg 1.8670 -11.3330 3.2223
Hg 2.2413 -2.6937 -1.0790
! D(E_F) in states/eV/cell: 12.1
! E_tot in eV per atom: -0.77
! Space-group type: R-3c, No. 167
! Total magnetic moment in μB/f.u.: 0.00
! Formation enthalpy at 0 K in eV/atom: -0.221

Entry 11:
! SmGa2NiPt2 (PBE, relaxed); values from VASP
&SYSTEM
  ibrav = 0, nat = 6, ntyp = 4
/
ATOMIC_SPECIES
Sm 150.36 Sm.upf
Ga 69.72 Ga.upf
Ni 58.69 Ni.upf
Pt 195.08 Pt.upf
CELL_PARAMETERS angstrom
-2.5533 2.3128 1.9425
-2.6624 -2.9246 -0.0175
5.4033 -2.2792 5.7897
ATOMIC_POSITIONS angstrom
Sm -2.6079 -0.3059 0.9625
Ga -0.6399 -2.1258 5.7161
Ga 0.8275 -0.7652 1.9987
Ni 0.0000 0.0000 0.0000
Pt 0.0665 -2.7549 3.3674
Pt 0.1211 -0.1362 4.3474
! D(E_F) in states/eV/cell: 2.2
! E_tot in eV per atom: -5.28
! Space-group type: I4/mmm, No. 139
! Total magnetic moment in μB/f.u.: 0.00
! Formation enthalpy at 0 K in eV/atom: -0.505

Entry 12:
! TlPbAu (PBE, relaxed); values from VASP
&SYSTEM
  ibrav = 0, nat = 6, ntyp = 3
/
ATOMIC_SPECIES
Pb 207.20 Pb.upf
Tl 204.38 Tl.upf
Au 196.97 Au.upf
CELL_PARAMETERS angstrom
1.2952 4.6898 -2.4578
-5.1854 -1.6768 0.1124
-0.8651 3.0325 5.3304
ATOMIC_POSITIONS angstrom
Pb -3.6740 2.7198 3.2534
Pb -1.0812 3.3257 -0.2685
Tl -3.2415 1.2035 0.5882
Tl -1.5138 4.8420 2.3967
Au 0.0000 0.0000 0.0000
Au -0.4326 1.5163 2.6652
! D(E_F) in states/eV/cell: 2.7
! E_tot in eV per atom: -2.91
! Space-group type: P6_3/mmc, No. 194
! Total magnetic moment in μB/f.u.: 0.00
! Formation enthalpy at 0 K in eV/atom: 0.209